Entry 1:
Crystalline InHgAu2 at its relaxed geometry. Source: Alexandria via LeMat-Bulk, functional PBE. Values from VASP.

Values from the calculation:
final energy = -9.6 eV per cell
space-group type = I-4m2 (119)
M_tot = 0.00 μB per formula unit
ΔE_f = 0.00 eV per atom

```
&SYSTEM
  ibrav = 0, nat = 4, ntyp = 3
/
ATOMIC_SPECIES
Au 196.97 Au.upf
Hg 200.59 Hg.upf
In 114.82 In.upf
CELL_PARAMETERS angstrom
5.318 0.001 0.000
1.751 5.022 0.000
-3.534 -2.511 3.080
ATOMIC_POSITIONS crystal
Au 0.000 0.000 0.000
Au 0.250 0.750 0.500
Hg 0.500 0.500 0.000
In 0.750 0.250 0.500
```

=====

Entry 2:
Crystalline InHg2Au at its relaxed geometry. Source: Alexandria via LeMat-Bulk, functional PBE. Values from VASP.

Values from the calculation:
final energy = -13.0 eV per cell
space-group type = I-42d (122)
M_tot = 0.00 μB per formula unit
ΔE_f = 0.03 eV per atom

```
&SYSTEM
  ibrav = 0, nat = 8, ntyp = 3
/
ATOMIC_SPECIES
Au 196.97 Au.upf
Hg 200.59 Hg.upf
In 114.82 In.upf
CELL_PARAMETERS angstrom
8.317 0.000 0.000
0.000 8.317 0.000
4.159 4.159 2.932
ATOMIC_POSITIONS crystal
Au 0.000 0.000 0.000
Au 0.750 0.250 0.500
Hg 0.648 0.125 0.250
Hg 0.102 0.625 0.250
Hg 0.375 0.352 0.750
Hg 0.875 0.898 0.750
In 0.500 0.500 0.000
In 0.250 0.750 0.500
```

=====

Entry 3:
Crystalline In2HgAu at its relaxed geometry. Source: Alexandria via LeMat-Bulk, functional PBE. Values from VASP.

Values from the calculation:
final energy = -9.4 eV per cell
space-group type = R3m (160)
M_tot = 0.00 μB per formula unit
ΔE_f = -0.08 eV per atom

```
&SYSTEM
  ibrav = 0, nat = 4, ntyp = 3
/
ATOMIC_SPECIES
In 114.82 In.upf
Hg 200.59 Hg.upf
Au 196.97 Au.upf
CELL_PARAMETERS angstrom
-0.693 3.115 -1.987
-3.546 1.053 -0.668
-1.404 5.877 6.145
ATOMIC_POSITIONS crystal
In 0.075 0.075 0.775
In 0.259 0.259 0.223
Hg 0.499 0.499 0.503
Au 0.667 0.667 0.998
```